Density functional theory data (PBE) for a geometry-optimized LaScBe2 structure.

```
LaScBe2
1.0
-2.051 2.051 4.628
2.051 -2.051 4.628
2.051 2.051 -4.628
La Sc Be
1 1 2
Direct
0.000 0.000 0.000
0.250 0.750 0.500
0.500 0.500 0.000
0.750 0.250 0.500
```

**DFT total energy**: -4.2206 eV/atom
**Spin magnetization**: 0.000 μB per atom
**Space group**: I-4m2


Density functional theory data (PBE) for a geometry-optimized La2ScBe2 structure.

```
La2ScBe2
1.0
7.918 0.000 0.000
0.000 7.918 0.000
0.000 0.000 3.821
La Sc Be
4 2 4
Direct
0.183 0.317 0.000
0.317 0.817 0.000
0.683 0.183 0.000
0.817 0.683 0.000
0.000 0.000 0.500
0.500 0.500 0.500
0.103 0.603 0.500
0.397 0.103 0.500
0.603 0.897 0.500
0.897 0.397 0.500
```

**DFT total energy**: -4.5092 eV/atom
**Spin magnetization**: 0.000 μB per atom
**Space group**: P4/mbm